i) PaPdSe3 after structural relaxation, computed with GGA-PBE.

Results
Space group ... No. 14
Size of the total moment ... 2.99 Bohr magnetons per cell
Density of states at the Fermi level ... 3.99 states/eV/f.u.

```
20
Lattice="10.0558 0.0000 0.0000 0.0000 5.7195 0.0000 -2.5560 0.0000 8.6302" Properties=species:S:1:pos:R:3 pbc="T T T"
Pa 0.9558 1.1620 1.5107
Pa -0.3222 1.6978 5.8258
Pa 7.8220 4.0217 2.8043
Pa 6.5440 4.5575 7.1194
Pd 2.8903 4.1812 4.9216
Pd 4.1683 4.3980 0.6065
Pd 3.3315 1.3215 8.0236
Pd 4.6095 1.5383 3.7086
Se 0.2613 4.0737 1.2028
Se -1.0167 4.5055 5.5179
Se 0.3569 0.5566 8.2629
Se 1.6349 2.3031 3.9478
Se 2.0140 3.1951 7.0460
Se 3.2920 5.3842 2.7309
Se 4.2078 0.3353 5.8993
Se 5.4858 2.5244 1.5842
Se 5.8649 3.4164 4.6824
Se 7.1429 5.1628 0.3673
Se 8.5165 1.2140 3.1123
Se 7.2385 1.6457 7.4273
```



ii) PaPdSe3 after structural relaxation, computed with GGA-PBE.

Results
Space group ... No. 63
Size of the total moment ... 0.00 Bohr magnetons per cell
Density of states at the Fermi level ... 4.56 states/eV/f.u.

```
10
Lattice="1.9935 -6.6871 0.0000 1.9935 6.6871 0.0000 0.0000 0.0000 9.2476" Properties=species:S:1:pos:R:3 pbc="T T T"
Pa 1.9935 3.5343 6.9357
Pa 1.9935 -3.5343 2.3119
Pd 1.9935 6.3571 2.3119
Pd 1.9935 -6.3571 6.9357
Se 1.9935 4.4659 0.6679
Se 1.9935 4.4659 3.9559
Se 1.9935 1.1694 2.3119
Se 1.9935 -1.1694 6.9357
Se 1.9935 -4.4659 5.2917
Se 1.9935 -4.4659 8.5797
```



Which of them is least stable? Easy: i).